# Nd5PdSe8 (GGA-PBE, relaxed)
# Calculated volume ... 25.25 Å³ per atom
# Density of states at the Fermi level ... 3.21 states/eV/f.u.
# Formation energy from raw total energies ... -1.634 eV per atom
data_Nd5PdSe8
_space_group_name_H-M_alt 'I -4'
_space_group_IT_number 82
_cell_length_a 8.807
_cell_length_b 8.807
_cell_length_c 9.114
_cell_angle_alpha 90.00
_cell_angle_beta 90.00
_cell_angle_gamma 90.00
loop_
_space_group_symop_operation_xyz
'x,y,z'
'y,-x,-z'
'-x,-y,z'
'-y,x,-z'
'x+1/2,y+1/2,z+1/2'
'y+1/2,-x+1/2,-z+1/2'
'-x+1/2,-y+1/2,z+1/2'
'-y+1/2,x+1/2,-z+1/2'
loop_
_atom_site_label
_atom_site_type_symbol
_atom_site_fract_x
_atom_site_fract_y
_atom_site_fract_z
Nd1 Nd 0.000 0.000 0.000
Nd2 Nd 0.131 0.253 0.612
Pd1 Pd 0.000 0.500 0.250
Se1 Se 0.057 0.197 0.289
Se2 Se 0.082 0.316 0.927